La4BiSbSe2: relaxed, GGA-PBE.

Structure (CIF):
```
data_La4BiSbSe2
_chemical_formula_sum 'La4 Bi1 Sb1 Se2'
_space_group_name_H-M_alt 'P 1'
_space_group_IT_number 1
_cell_length_a 7.752
_cell_length_b 4.508
_cell_length_c 7.799
_cell_angle_alpha 90.00
_cell_angle_beta 109.65
_cell_angle_gamma 90.00
loop_
_space_group_symop_operation_xyz
'x,y,z'
loop_
_atom_site_label
_atom_site_type_symbol
_atom_site_fract_x
_atom_site_fract_y
_atom_site_fract_z
La1 La 0.234 0.000 0.241
La2 La 0.237 0.500 0.749
La3 La 0.763 0.500 0.251
La4 La 0.766 0.000 0.759
Bi1 Bi 0.500 0.500 0.500
Sb1 Sb 0.500 0.000 0.000
Se1 Se 0.000 0.000 0.500
Se2 Se 0.000 0.500 0.000
```

## Properties
* ΔE_f (raw): -1.575 eV/atom
* symmetry: P2/m, No. 10
* crystal system: monoclinic
* electronic total energy: -5.9101 eV/atom
* ρ: 6.76 Mg/m³